[1]
Compound: Ca3Ce2NpAs6
Source: the Alexandria database
Functional: PBE
Structure: optimized geometry Values from VASP.

Properties
Size of the total moment in μB/cell: 3.21
Formation energy in meV per atom: -1160

The structure in Quantum ESPRESSO input format:
```
&SYSTEM
  ibrav = 0, nat = 12, ntyp = 4
/
ATOMIC_SPECIES
Ca 40.08 Ca.upf
Ce 140.12 Ce.upf
Np 237.00 Np.upf
As 74.92 As.upf
CELL_PARAMETERS angstrom
3.666 -6.350 0.000
3.666 6.350 0.000
-2.445 0.000 6.821
ATOMIC_POSITIONS angstrom
Ca 0.000 0.000 0.000
Ca 3.666 2.134 0.000
Ca 3.666 -2.134 0.000
Ce 2.444 4.236 3.410
Ce 2.444 -4.236 3.410
Np 2.444 0.000 3.410
As 1.244 2.081 1.824
As 0.046 0.000 4.993
As 1.244 -2.081 1.824
As 3.645 2.081 4.996
As 4.842 0.000 1.828
As 3.645 -2.081 4.996
```



[2]
Compound: CaCeNp2As4
Source: the Alexandria database
Functional: PBE
Structure: optimized geometry Values from VASP.

Properties
Size of the total moment in μB/cell: 7.94
Formation energy in meV per atom: -979

The structure in Quantum ESPRESSO input format:
```
&SYSTEM
  ibrav = 0, nat = 8, ntyp = 4
/
ATOMIC_SPECIES
Ca 40.08 Ca.upf
Ce 140.12 Ce.upf
Np 237.00 Np.upf
As 74.92 As.upf
CELL_PARAMETERS angstrom
7.191 0.000 0.000
0.000 4.166 0.000
-2.402 0.000 6.841
ATOMIC_POSITIONS angstrom
Ca 0.000 0.000 0.000
Ce 3.596 2.083 0.000
Np -1.201 2.083 3.420
Np 2.395 0.000 3.420
As 0.012 0.000 5.065
As 1.221 2.083 1.807
As 3.568 2.083 5.033
As 4.777 0.000 1.775
```



[3]
Compound: CaCeAsP
Source: the Alexandria database
Functional: PBE
Structure: optimized geometry Values from VASP.

Properties
Size of the total moment in μB/cell: 0.00
Formation energy in meV per atom: -1307

The structure in Quantum ESPRESSO input format:
```
&SYSTEM
  ibrav = 0, nat = 4, ntyp = 4
/
ATOMIC_SPECIES
Ca 40.08 Ca.upf
Ce 140.12 Ce.upf
As 74.92 As.upf
P 30.97 P.upf
CELL_PARAMETERS angstrom
2.100 1.213 6.727
-2.100 1.213 6.727
0.000 -2.425 6.727
ATOMIC_POSITIONS angstrom
Ca 0.000 0.000 0.000
Ce 0.000 0.000 10.189
As 0.000 0.000 15.280
P 0.000 0.000 4.957
```



[4]
Compound: CaCePa2As4
Source: the Alexandria database
Functional: PBE
Structure: optimized geometry Values from VASP.

Properties
Size of the total moment in μB/cell: 1.96
Formation energy in meV per atom: -1184

The structure in Quantum ESPRESSO input format:
```
&SYSTEM
  ibrav = 0, nat = 8, ntyp = 4
/
ATOMIC_SPECIES
Ca 40.08 Ca.upf
Ce 140.12 Ce.upf
Pa 231.04 Pa.upf
As 74.92 As.upf
CELL_PARAMETERS angstrom
7.202 0.000 0.000
0.000 4.156 0.000
-2.403 0.000 6.822
ATOMIC_POSITIONS angstrom
Ca 0.000 0.000 0.000
Ce 3.601 2.078 0.000
Pa -1.202 2.078 3.411
Pa 2.399 0.000 3.411
As -0.005 0.000 5.048
As 1.201 2.078 1.792
As 3.597 2.078 5.031
As 4.803 0.000 1.774
```



[5]
Compound: CaCe2PaAs4
Source: the Alexandria database
Functional: PBE
Structure: optimized geometry Values from VASP.

Properties
Size of the total moment in μB/cell: 1.92
Formation energy in meV per atom: -1275

The structure in Quantum ESPRESSO input format:
```
&SYSTEM
  ibrav = 0, nat = 8, ntyp = 4
/
ATOMIC_SPECIES
Ca 40.08 Ca.upf
Ce 140.12 Ce.upf
Pa 231.04 Pa.upf
As 74.92 As.upf
CELL_PARAMETERS angstrom
7.244 0.000 0.000
0.000 4.198 0.000
-2.414 0.000 6.847
ATOMIC_POSITIONS angstrom
Ca 0.000 0.000 0.000
Ce -1.207 2.099 3.424
Ce 2.415 0.000 3.424
Pa 3.622 2.099 0.000
As 0.047 0.000 5.191
As 1.284 2.099 1.696
As 3.546 2.099 5.151
As 4.782 0.000 1.657
```



[6]
Compound: CaCeAs2Pd5
Source: the Alexandria database
Functional: PBE
Structure: optimized geometry Values from VASP.

Properties
Size of the total moment in μB/cell: 0.93
Formation energy in meV per atom: -733

The structure in Quantum ESPRESSO input format:
```
&SYSTEM
  ibrav = 0, nat = 9, ntyp = 4
/
ATOMIC_SPECIES
Ca 40.08 Ca.upf
Ce 140.12 Ce.upf
As 74.92 As.upf
Pd 106.42 Pd.upf
CELL_PARAMETERS angstrom
4.272 0.000 0.000
0.000 4.272 0.000
0.000 0.000 9.174
ATOMIC_POSITIONS angstrom
Ca 0.000 0.000 0.000
Ce 0.000 0.000 4.587
As 2.136 2.136 3.318
As 2.136 2.136 5.856
Pd 0.000 2.136 2.048
Pd 0.000 2.136 7.126
Pd 2.136 0.000 2.048
Pd 2.136 0.000 7.126
Pd 2.136 2.136 0.000
```